(1)
Here is P3W2O12 at its PBEsol-relaxed geometry from Alexandria via LeMat-Bulk. Energies are from meta-GGA SCAN.

Summary:
- N(E_F): 5.62 states/eV/f.u.
- Electronic total energy: -16.6698 eV per atom
- Uncorrected formation energy: -2238 meV/atom
- SG: R-3, No. 148
- Total moment: 6.00 μB per cell

Unit cell a=8.680 b=8.680 c=8.925 alpha=60.90 beta=60.90 gamma=60.00
Last column: magnetic moment on the atom in μB.
Sites, in units of the cell vectors:
O 0.791 0.561 0.224  0.01
O 0.273 0.139 0.082  0.01
O 0.727 0.861 0.918  0.01
O 0.225 0.994 0.418  0.01
O 0.506 0.273 0.082  0.01
O 0.424 0.791 0.224  0.01
O 0.994 0.362 0.418  0.01
O 0.209 0.439 0.776  0.01
O 0.494 0.727 0.918  0.01
O 0.923 0.062 0.725  0.01
O 0.938 0.710 0.275  0.01
O 0.710 0.077 0.275  0.01
O 0.006 0.638 0.582  0.01
O 0.077 0.938 0.275  0.01
O 0.775 0.006 0.582  0.01
O 0.439 0.576 0.776  0.01
O 0.062 0.290 0.725  0.01
O 0.561 0.424 0.224  0.01
O 0.362 0.225 0.418  0.01
O 0.638 0.775 0.582  0.01
O 0.861 0.494 0.918  0.01
O 0.576 0.209 0.776  0.01
O 0.139 0.506 0.082  0.01
O 0.290 0.923 0.725  0.01
P 0.966 0.534 0.250  0.02
P 0.034 0.466 0.750  0.02
P 0.250 0.966 0.250  0.02
P 0.466 0.750 0.750  0.02
P 0.534 0.250 0.250  0.02
P 0.750 0.034 0.750  0.02
W 0.643 0.643 0.071  1.20
W 0.857 0.857 0.428  1.19
W 0.143 0.143 0.572  1.19
W 0.357 0.357 0.929  1.20



(2)
Here is P2WO7 at its PBEsol-relaxed geometry from Alexandria via LeMat-Bulk. Energies are from meta-GGA SCAN.

Summary:
- Electronic total energy: -15.6205 eV per atom
- Uncorrected formation energy: -2210 meV/atom
- SG: P2_1, No. 4
- Relative energy among the computed polymorphs: 0.00 kJ/mol of atoms
- Total moment: 4.00 μB per cell

Unit cell a=4.962 b=7.018 c=8.295 alpha=90.00 beta=90.00 gamma=106.03
Last column: magnetic moment on the atom in μB.
Sites, in units of the cell vectors:
O 0.574 0.721 0.900  0.01
O 0.858 0.538 0.327  0.01
O 0.564 0.912 0.161  0.01
O 0.292 0.510 0.120  0.03
O 0.436 0.088 0.661  0.01
O 0.436 0.642 0.430  0.01
O 0.142 0.462 0.827  0.01
O 0.708 0.490 0.620  0.03
O 0.001 0.816 0.080  0.01
O 0.564 0.358 0.930  0.01
O 0.999 0.184 0.580  0.01
O 0.855 0.070 0.917  0.03
O 0.145 0.930 0.417  0.03
O 0.426 0.279 0.400  0.01
P 0.385 0.503 0.946  0.03
P 0.244 0.112 0.520  0.02
P 0.756 0.888 0.020  0.02
P 0.615 0.497 0.446  0.03
W 0.784 0.271 0.757  1.57
W 0.216 0.729 0.257  1.57